Record 1
Entry from Alexandria via LeMat-Bulk: a relaxed structure of Zr2MnAl (PBE).

CIF file:
```
data_Zr2MnAl
_space_group_name_H-M_alt 'P 1 m 1'
_space_group_IT_number 6
_space_group_name_Hall 'P -2y'
_cell_length_a 3.420
_cell_length_b 4.215
_cell_length_c 5.495
_cell_angle_alpha 90.00
_cell_angle_beta 106.25
_cell_angle_gamma 90.00
loop_
_atom_site_label
_atom_site_fract_x
_atom_site_fract_y
_atom_site_fract_z
Zr1 0.000 0.000 0.000
Zr2 0.281 0.500 0.609
Mn1 0.709 0.000 0.459
Al1 0.578 0.500 0.168
```

Results
- Total moment: 1.96 μB/cell
- N(E_F): 3.20 states/eV per cell
- ρ: 5.77 Mg/m³
- Calculated formation energy: -0.1915 eV per atom



Record 2
Entry from Alexandria via LeMat-Bulk: a relaxed structure of Zr2MnAl (PBE).

CIF file:
```
data_Zr2MnAl
_space_group_name_H-M_alt 'I -4 2 d'
_space_group_IT_number 122
_space_group_name_Hall 'I -4 2bw'
_cell_length_a 7.379
_cell_length_b 7.379
_cell_length_c 5.560
_cell_angle_alpha 90.00
_cell_angle_beta 90.00
_cell_angle_gamma 90.00
loop_
_atom_site_label
_atom_site_fract_x
_atom_site_fract_y
_atom_site_fract_z
Zr1 0.206 0.250 0.125
Mn1 0.000 0.000 0.000
Al1 0.000 0.000 0.500
```

Results
- Total moment: 0.06 μB/cell
- N(E_F): 12.74 states/eV per cell
- ρ: 5.80 Mg/m³
- Calculated formation energy: 0.2574 eV per atom



Record 3
Entry from Alexandria via LeMat-Bulk: a relaxed structure of AlMo2 (PBE).

CIF file:
```
data_AlMo2
_space_group_name_H-M_alt 'F m -3 m'
_space_group_IT_number 225
_space_group_name_Hall '-F 4 2 3'
_cell_length_a 5.964
_cell_length_b 5.964
_cell_length_c 5.964
_cell_angle_alpha 90.00
_cell_angle_beta 90.00
_cell_angle_gamma 90.00
loop_
_atom_site_label
_atom_site_fract_x
_atom_site_fract_y
_atom_site_fract_z
Al1 0.000 0.000 0.000
Mo1 0.250 0.250 0.250
```

Results
- Total moment: 0.01 μB/cell
- N(E_F): 17.33 states/eV per cell
- ρ: 6.85 Mg/m³
- Calculated formation energy: 0.8259 eV per atom
- Energy relative to the lowest polymorph listed for this composition: 0.999 eV/atom



Record 4
Entry from Alexandria via LeMat-Bulk: a relaxed structure of AlMo (PBE).

CIF file:
```
data_AlMo
_space_group_name_H-M_alt 'F -4 3 m'
_space_group_IT_number 216
_space_group_name_Hall 'F -4 2 3'
_cell_length_a 5.792
_cell_length_b 5.792
_cell_length_c 5.792
_cell_angle_alpha 90.00
_cell_angle_beta 90.00
_cell_angle_gamma 90.00
loop_
_atom_site_label
_atom_site_fract_x
_atom_site_fract_y
_atom_site_fract_z
Al1 0.000 0.000 0.000
Mo1 0.250 0.250 0.250
```

Results
- Total moment: 5.96 μB/cell
- N(E_F): 11.78 states/eV per cell
- ρ: 4.20 Mg/m³
- Calculated formation energy: 1.9776 eV per atom



Record 5
Entry from Alexandria via LeMat-Bulk: a relaxed structure of AlMo (PBE).

CIF file:
```
data_AlMo
_space_group_name_H-M_alt 'C 1 m 1'
_space_group_IT_number 8
_space_group_name_Hall 'C -2y'
_cell_length_a 10.238
_cell_length_b 2.795
_cell_length_c 6.707
_cell_angle_alpha 90.00
_cell_angle_beta 104.34
_cell_angle_gamma 90.00
loop_
_atom_site_label
_atom_site_fract_x
_atom_site_fract_y
_atom_site_fract_z
Al1 0.000 0.000 0.000
Al2 0.077 0.000 0.620
Al3 0.181 0.500 0.339
Mo1 0.223 0.500 0.957
Mo2 0.350 0.000 0.657
Mo3 0.406 0.000 0.293
```

Results
- Total moment: 0.00 μB/cell
- N(E_F): 9.12 states/eV per cell
- ρ: 6.59 Mg/m³
- Calculated formation energy: -0.0737 eV per atom



Record 6
Entry from Alexandria via LeMat-Bulk: a relaxed structure of AlMo (PBE).

CIF file:
```
data_AlMo
_space_group_name_H-M_alt 'C 1 2/m 1'
_space_group_IT_number 12
_space_group_name_Hall '-C 2y'
_cell_length_a 9.260
_cell_length_b 2.767
_cell_length_c 4.857
_cell_angle_alpha 90.00
_cell_angle_beta 98.86
_cell_angle_gamma 90.00
loop_
_atom_site_label
_atom_site_fract_x
_atom_site_fract_y
_atom_site_fract_z
Al1 0.128 0.000 0.372
Mo1 0.121 0.500 0.862
```

Results
- Total moment: 0.00 μB/cell
- N(E_F): 5.57 states/eV per cell
- ρ: 6.64 Mg/m³
- Calculated formation energy: -0.0897 eV per atom



Record 7
Entry from Alexandria via LeMat-Bulk: a relaxed structure of AlMo (PBE).

CIF file:
```
data_AlMo
_space_group_name_H-M_alt 'C m c m'
_space_group_IT_number 63
_space_group_name_Hall '-C 2c 2'
_cell_length_a 2.761
_cell_length_b 10.117
_cell_length_c 4.386
_cell_angle_alpha 90.00
_cell_angle_beta 90.00
_cell_angle_gamma 90.00
loop_
_atom_site_label
_atom_site_fract_x
_atom_site_fract_y
_atom_site_fract_z
Al1 0.000 0.070 0.250
Mo1 0.000 0.328 0.250
```

Results
- Total moment: 0.00 μB/cell
- N(E_F): 7.40 states/eV per cell
- ρ: 6.66 Mg/m³
- Calculated formation energy: -0.0829 eV per atom



Record 8
Entry from Alexandria via LeMat-Bulk: a relaxed structure of AlMo2 (PBE).

CIF file:
```
data_AlMo2
_space_group_name_H-M_alt 'I 4/m m m'
_space_group_IT_number 139
_space_group_name_Hall '-I 4 2'
_cell_length_a 2.695
_cell_length_b 2.695
_cell_length_c 12.857
_cell_angle_alpha 90.00
_cell_angle_beta 90.00
_cell_angle_gamma 90.00
loop_
_atom_site_label
_atom_site_fract_x
_atom_site_fract_y
_atom_site_fract_z
Al1 0.000 0.000 0.000
Mo1 0.000 0.000 0.340
```

Results
- Total moment: 0.00 μB/cell
- N(E_F): 3.84 states/eV per cell
- ρ: 7.78 Mg/m³
- Calculated formation energy: 0.0494 eV per atom
- Energy relative to the lowest polymorph listed for this composition: 0.222 eV/atom



Record 9
Entry from Alexandria via LeMat-Bulk: a relaxed structure of AlMo2 (PBE).

CIF file:
```
data_AlMo2
_space_group_name_H-M_alt 'C m c m'
_space_group_IT_number 63
_space_group_name_Hall '-C 2c 2'
_cell_length_a 2.665
_cell_length_b 15.063
_cell_length_c 4.729
_cell_angle_alpha 90.00
_cell_angle_beta 90.00
_cell_angle_gamma 90.00
loop_
_atom_site_label
_atom_site_fract_x
_atom_site_fract_y
_atom_site_fract_z
Al1 0.000 0.219 0.250
Mo1 0.000 0.119 0.750
Mo2 0.000 0.449 0.750
```

Results
- Total moment: 0.00 μB/cell
- N(E_F): 12.89 states/eV per cell
- ρ: 7.66 Mg/m³
- Calculated formation energy: 0.1466 eV per atom
- Energy relative to the lowest polymorph listed for this composition: 0.319 eV/atom



Record 10
Entry from Alexandria via LeMat-Bulk: a relaxed structure of AlMo2 (PBE).

CIF file:
```
data_AlMo2
_space_group_name_H-M_alt 'C 1 2/m 1'
_space_group_IT_number 12
_space_group_name_Hall '-C 2y'
_cell_length_a 10.361
_cell_length_b 2.690
_cell_length_c 6.989
_cell_angle_alpha 90.00
_cell_angle_beta 105.07
_cell_angle_gamma 90.00
loop_
_atom_site_label
_atom_site_fract_x
_atom_site_fract_y
_atom_site_fract_z
Al1 0.042 0.000 0.316
Mo1 0.126 0.500 0.011
Mo2 0.188 0.500 0.651
```

Results
- Total moment: 0.00 μB/cell
- N(E_F): 9.43 states/eV per cell
- ρ: 7.73 Mg/m³
- Calculated formation energy: 0.0659 eV per atom
- Energy relative to the lowest polymorph listed for this composition: 0.239 eV/atom



Record 11
Entry from Alexandria via LeMat-Bulk: a relaxed structure of Al3Mo (PBE).

CIF file:
```
data_Al3Mo
_space_group_name_H-M_alt 'I 4/m m m'
_space_group_IT_number 139
_space_group_name_Hall '-I 4 2'
_cell_length_a 3.767
_cell_length_b 3.767
_cell_length_c 17.120
_cell_angle_alpha 90.00
_cell_angle_beta 90.00
_cell_angle_gamma 90.00
loop_
_atom_site_label
_atom_site_fract_x
_atom_site_fract_y
_atom_site_fract_z
Al1 0.000 0.000 0.119
Al2 0.000 0.500 0.000
Al3 0.000 0.500 0.250
Mo1 0.000 0.000 0.370
```

Results
- Total moment: 0.00 μB/cell
- N(E_F): 6.55 states/eV per cell
- ρ: 4.84 Mg/m³
- Calculated formation energy: -0.2145 eV per atom



Record 12
Entry from Alexandria via LeMat-Bulk: a relaxed structure of AlMo7 (PBE).

CIF file:
```
data_AlMo7
_space_group_name_H-M_alt 'F m -3 m'
_space_group_IT_number 225
_space_group_name_Hall '-F 4 2 3'
_cell_length_a 7.981
_cell_length_b 7.981
_cell_length_c 7.981
_cell_angle_alpha 90.00
_cell_angle_beta 90.00
_cell_angle_gamma 90.00
loop_
_atom_site_label
_atom_site_fract_x
_atom_site_fract_y
_atom_site_fract_z
Al1 0.000 0.000 0.000
Mo1 0.000 0.000 0.500
Mo2 0.000 0.250 0.250
```

Results
- Total moment: 0.00 μB/cell
- N(E_F): 31.60 states/eV per cell
- ρ: 9.13 Mg/m³
- Calculated formation energy: 0.2302 eV per atom



- What is the total moment in the eleventh record?
  0.00 μB/cell



- The highest ρ belongs to which entry?
  AlMo7